(1)
Compound: Zr2PbCl
Source: the Alexandria database
Functional: PBE-GGA
Structure: optimized geometry

## Properties
- offset from the most stable computed form (kcal/mol of atoms) = 1.34
- SG = Pm

CIF file:
```
data_Zr2PbCl
_chemical_formula_sum 'Zr2 Pb1 Cl1'
_cell_length_a 3.1778
_cell_length_b 5.0165
_cell_length_c 6.0507
_cell_angle_alpha 90.00
_cell_angle_beta 105.15
_cell_angle_gamma 90.00
_symmetry_space_group_name_H-M 'P 1'
_symmetry_Int_Tables_number 1
loop_
_symmetry_equiv_pos_as_xyz
'x,y,z'
loop_
_atom_site_label
_atom_site_type_symbol
_atom_site_fract_x
_atom_site_fract_y
_atom_site_fract_z
Zr1 Zr 0.0000 0.0000 0.0000
Zr2 Zr 0.3490 0.5000 0.7001
Pb1 Pb 0.7380 0.0000 0.4808
Cl1 Cl 0.0290 0.5000 0.0619
```

***

(2)
Compound: Dy8Tl2Hg
Source: the Alexandria database
Functional: PBE-GGA
Structure: optimized geometry

## Properties
- offset from the most stable computed form (kcal/mol of atoms) = 0.78
- calculated formation energy (kJ/mol of formula units) = -183
- SG = C2/m

CIF file:
```
data_Dy8Tl2Hg
_chemical_formula_sum 'Dy8 Tl2 Hg1'
_cell_length_a 9.3506
_cell_length_b 9.3506
_cell_length_c 7.0353
_cell_angle_alpha 98.51
_cell_angle_beta 98.51
_cell_angle_gamma 32.31
_symmetry_space_group_name_H-M 'P 1'
_symmetry_Int_Tables_number 1
loop_
_symmetry_equiv_pos_as_xyz
'x,y,z'
loop_
_atom_site_label
_atom_site_type_symbol
_atom_site_fract_x
_atom_site_fract_y
_atom_site_fract_z
Dy1 Dy 0.0288 0.0288 0.2449
Dy2 Dy 0.1842 0.1842 0.7799
Dy3 Dy 0.3389 0.3389 0.5582
Dy4 Dy 0.4106 0.4106 0.0565
Dy5 Dy 0.5894 0.5894 0.9435
Dy6 Dy 0.6611 0.6611 0.4418
Dy7 Dy 0.8158 0.8158 0.2201
Dy8 Dy 0.9712 0.9712 0.7551
Tl1 Tl 0.2058 0.2058 0.2242
Tl2 Tl 0.7942 0.7942 0.7758
Hg1 Hg 0.5000 0.5000 0.5000
```

***

(3)
Compound: CoCuPd2N
Source: the Alexandria database
Functional: PBE-GGA
Structure: optimized geometry

## Properties
- E (eV for the cell shown) = -29.150
- SG = P4/mmm

CIF file:
```
data_CoCuPd2N
_chemical_formula_sum 'Co1 Cu1 Pd2 N1'
_cell_length_a 4.2383
_cell_length_b 4.2383
_cell_length_c 3.5229
_cell_angle_alpha 90.00
_cell_angle_beta 90.00
_cell_angle_gamma 90.00
_symmetry_space_group_name_H-M 'P 1'
_symmetry_Int_Tables_number 1
loop_
_symmetry_equiv_pos_as_xyz
'x,y,z'
loop_
_atom_site_label
_atom_site_type_symbol
_atom_site_fract_x
_atom_site_fract_y
_atom_site_fract_z
Co1 Co 0.0000 0.0000 0.0000
Cu1 Cu 0.5000 0.5000 0.0000
Pd1 Pd 0.0000 0.5000 0.5000
Pd2 Pd 0.5000 0.0000 0.5000
N1 N 0.0000 0.0000 0.5000
```